Entry 1:
A relaxed structure of CsSr2LaRu, computed with GGA-PBE.

Lattice parameters (Å, degrees): 7.2035 4.7907 7.2035 90.00 90.00 90.00
Fractional positions:
La  0.0000  0.0000  0.0000
Ru  0.0000  0.5000  0.0000
Sr  0.0000  0.0000  0.5000
Sr  0.5000  0.0000  0.0000
Cs  0.5000  0.5000  0.5000

* space-group type: P4/mmm
* energy above the lowest structure with this stoichiometry: 2.265 eV/f.u.
* calculated total energy: -3.09 eV per atom


Entry 2:
A relaxed structure of MnCrW3, computed with GGA-PBE.

Lattice parameters (Å, degrees): 4.4228 4.4228 4.4228 90.00 90.00 90.00
Fractional positions:
W  0.0000  0.5000  0.0000
W  0.0000  0.0000  0.5000
W  0.5000  0.0000  0.0000
Cr  0.5000  0.5000  0.5000
Mn  0.0000  0.0000  0.0000

* space-group type: Pm-3m
* energy above the lowest structure with this stoichiometry: 0.000 eV/f.u.
* calculated total energy: -9.92 eV per atom


Entry 3:
A relaxed structure of PrYMgTc, computed with GGA-PBE.

Lattice parameters (Å, degrees): 5.1384 5.1384 5.1384 60.00 60.00 60.00
Fractional positions:
Y  0.7500  0.7500  0.7500
Tc  0.0000  0.0000  0.0000
Mg  0.5000  0.5000  0.5000
Pr  0.2500  0.2500  0.2500

* space-group type: F-43m
* calculated total energy: -5.73 eV per atom


Entry 4:
A relaxed structure of Zn2W2N, computed with GGA-PBE.

Lattice parameters (Å, degrees): 5.5368 5.5368 4.7138 90.00 90.00 90.00
Fractional positions:
W  0.8275  0.6725  0.0000
W  0.1725  0.3275  0.0000
W  0.3275  0.8275  0.0000
W  0.6725  0.1725  0.0000
N  0.0000  0.0000  0.0000
N  0.5000  0.5000  0.0000
Zn  0.6578  0.8422  0.5000
Zn  0.1578  0.6578  0.5000
Zn  0.3422  0.1578  0.5000
Zn  0.8422  0.3422  0.5000

* space-group type: P4/mbm
* calculated total energy: -7.28 eV per atom
* formation energy from raw total energies: 0.36 eV per formula unit


Entry 5:
A relaxed structure of SrTc2Os, computed with GGA-PBE.

Lattice parameters (Å, degrees): 3.0647 4.8298 4.7343 90.00 90.00 90.00
Fractional positions:
Tc  0.0000  0.0000  0.0000
Tc  0.5000  0.5000  0.0000
Os  0.5000  0.0000  0.5000
Sr  0.0000  0.5000  0.5000

* space-group type: Pmmm
* energy above the lowest structure with this stoichiometry: 1.933 eV/f.u.
* calculated total energy: -7.32 eV per atom


Entry 6:
A relaxed structure of ScMnBe, computed with GGA-PBE.

Lattice parameters (Å, degrees): 5.0395 5.0407 5.0407 145.16 145.17 50.09
Each line ends with the local moment (μB).
Fractional positions:
Sc  0.6695  0.6694  0.0000  -0.22
Mn  0.3651  0.3650  0.0000  1.88
Be  0.9655  0.9655  0.9999  -0.05

* space-group type: I4mm
* energy above the lowest structure with this stoichiometry: 0.460 eV/f.u.
* calculated total energy: -6.38 eV per atom


Entry 7:
A relaxed structure of MgO, computed with GGA-PBE.

Lattice parameters (Å, degrees): 6.2683 6.2683 6.2683 90.00 90.00 90.00
Fractional positions:
Mg  0.3403  0.3403  0.3403
Mg  0.6597  0.6597  0.3403
Mg  0.1597  0.1597  0.8403
Mg  0.6597  0.3403  0.6597
Mg  0.1597  0.8403  0.1597
Mg  0.8403  0.8403  0.8403
Mg  0.3403  0.6597  0.6597
Mg  0.8403  0.1597  0.1597
O  0.3362  0.3362  0.6638
O  0.6638  0.6638  0.6638
O  0.3362  0.6638  0.3362
O  0.1638  0.8362  0.8362
O  0.6638  0.3362  0.3362
O  0.8362  0.1638  0.8362
O  0.8362  0.8362  0.1638
O  0.1638  0.1638  0.1638

* space-group type: I-43m
* calculated total energy: -5.78 eV per atom
* formation energy from raw total energies: -5.01 eV per formula unit


Entry 8:
A relaxed structure of Tb3Zr3NbN8, computed with GGA-PBE.

Lattice parameters (Å, degrees): 6.5661 6.5659 6.7332 119.19 90.00 120.00
Fractional positions:
Tb  0.0000  0.5000  0.0000
Tb  0.0000  0.0000  0.0000
Tb  0.5000  0.5000  0.0000
Zr  0.5000  0.0000  0.5000
Zr  0.5000  0.5000  0.5000
Zr  0.0000  0.5000  0.5000
Nb  0.0000  0.0000  0.5000
N  0.2561  0.5123  0.2684
N  0.2300  0.4601  0.7157
N  0.7699  0.0144  0.2843
N  0.7700  0.5399  0.2843
N  0.7439  0.4877  0.7316
N  0.2445  0.0144  0.2843
N  0.7555  0.9856  0.7157
N  0.2301  0.9856  0.7157

* space-group type: R-3m
* calculated total energy: -9.25 eV per atom
* formation energy from raw total energies: -22.59 eV per formula unit


Entry 9:
A relaxed structure of Nb3SnOs, computed with GGA-PBE.

Lattice parameters (Å, degrees): 4.9151 4.9151 4.9151 90.00 90.00 90.00
Fractional positions:
Nb  0.0000  0.5000  0.0000
Nb  0.5000  0.0000  0.0000
Nb  0.0000  0.0000  0.5000
Os  0.5000  0.5000  0.5000
Sn  0.0000  0.0000  0.0000

* space-group type: Pm-3m
* energy above the lowest structure with this stoichiometry: 6.990 eV/f.u.
* calculated total energy: -6.88 eV per atom


no.,DOS(E_F) (states/eV per atom)
1,1.45
2,1.17
3,0.59
4,0.41
5,1.26
6,0.97
7,0.00
8,0.10
9,1.62